A relaxed structure of TcMoCl2, computed with GGA-PBE.

Unit cell a=6.1632 b=6.1632 c=6.1632 alpha=90.00 beta=90.00 gamma=90.00
Space group Fm-3m (No. 225)
One atom of each set of equivalent atoms:
Tc1 0.0000 0.0000 0.0000
Mo1 0.0000 0.0000 0.5000
Cl1 0.2500 0.2500 0.2500

Values from the calculation:
Offset from the most stable computed form (eV/atom): 1.227

***

A relaxed structure of TcMoCl4, computed with GGA-PBE.

Unit cell a=8.2896 b=8.2896 c=8.2896 alpha=90.00 beta=90.00 gamma=90.00
Space group F-43m (No. 216)
One atom of each set of equivalent atoms:
Tc1 0.0000 0.0000 0.0000
Mo1 0.2500 0.2500 0.2500
Cl1 0.1253 0.1253 0.6253

***

A relaxed structure of Tc2MoCl, computed with GGA-PBE.

Unit cell a=9.9505 b=2.9643 c=4.2831 alpha=90.00 beta=91.32 gamma=90.00
Space group Cm (No. 8)
One atom of each set of equivalent atoms:
Tc1 0.0000 0.0000 0.0000
Tc2 0.2252 0.5000 0.1715
Mo1 0.3015 0.0000 0.7298
Cl1 0.0118 0.5000 0.4443

Values from the calculation:
Offset from the most stable computed form (eV/atom): 0.241

***

A relaxed structure of Tc2MoCl, computed with GGA-PBE.

Unit cell a=2.8797 b=4.4711 c=9.0107 alpha=90.00 beta=90.00 gamma=90.00
Space group Immm (No. 71)
One atom of each set of equivalent atoms:
Tc1 0.0000 0.0000 0.2283
Mo1 0.0000 0.5000 0.0000
Cl1 0.0000 0.5000 0.5000

Values from the calculation:
Offset from the most stable computed form (eV/atom): 0.210

***

A relaxed structure of Tc2MoCl, computed with GGA-PBE.

Unit cell a=2.9848 b=3.8714 c=6.9204 alpha=90.00 beta=90.00 gamma=90.00
Space group Pmm2 (No. 25)
One atom of each set of equivalent atoms:
Tc1 0.0000 0.0000 0.0000
Tc2 0.5000 0.5000 0.1515
Mo1 0.5000 0.5000 0.8224
Cl1 0.0000 0.0000 0.3537

Values from the calculation:
Offset from the most stable computed form (eV/atom): 0.225

***

A relaxed structure of YTcMoCl2, computed with GGA-PBE.

Unit cell a=4.6327 b=4.6327 c=5.8219 alpha=90.00 beta=90.00 gamma=90.00
Space group P4/mmm (No. 123)
One atom of each set of equivalent atoms:
Y1 0.0000 0.0000 0.0000
Tc1 0.0000 0.0000 0.5000
Mo1 0.5000 0.5000 0.0000
Cl1 0.0000 0.5000 0.5000

***

A relaxed structure of ZnTc2MoCl, computed with GGA-PBE.

Unit cell a=4.3066 b=4.3066 c=4.5713 alpha=90.00 beta=90.00 gamma=90.00
Space group P4/mmm (No. 123)
One atom of each set of equivalent atoms:
Zn1 0.0000 0.0000 0.0000
Tc1 0.0000 0.5000 0.5000
Mo1 0.5000 0.5000 0.0000
Cl1 0.0000 0.0000 0.5000

***

A relaxed structure of TeMoCl, computed with GGA-PBE.

Unit cell a=3.3788 b=3.3788 c=7.7064 alpha=90.00 beta=90.00 gamma=120.00
Space group P3m1 (No. 156)
One atom of each set of equivalent atoms:
Te1 0.0000 0.0000 0.0000
Mo1 0.3333 0.6667 0.7575
Cl1 0.6667 0.3333 0.5342

Values from the calculation:
Offset from the most stable computed form (eV/atom): 0.187

***

A relaxed structure of TeMo4Cl, computed with GGA-PBE.

Unit cell a=7.6193 b=7.6193 c=7.6193 alpha=90.00 beta=90.00 gamma=90.00
Space group F-43m (No. 216)
One atom of each set of equivalent atoms:
Te1 0.0000 0.0000 0.0000
Mo1 0.1226 0.1226 0.3774
Cl1 0.2500 0.2500 0.7500

***

A relaxed structure of Te3MoCl9, computed with GGA-PBE.

Unit cell a=17.7219 b=11.9869 c=12.3490 alpha=90.00 beta=130.62 gamma=90.00
Space group Cc (No. 9)
One atom of each set of equivalent atoms:
Te1 0.0000 0.1258 0.0000
Te2 0.1410 0.1531 0.9873
Te3 0.1943 0.3602 0.6305
Mo1 0.4302 0.1366 0.7560
Cl1 0.0103 0.3554 0.5165
Cl2 0.0558 0.0258 0.6673
Cl3 0.0819 0.2811 0.3392
Cl4 0.2445 0.3986 0.8573
Cl5 0.2528 0.2906 0.1686
Cl6 0.2889 0.0965 0.7190
Cl7 0.3601 0.1378 0.5224
Cl8 0.3782 0.3392 0.7342
Cl9 0.4873 0.0422 0.2934

***

A relaxed structure of TeMoCl, computed with GGA-PBE.

Unit cell a=6.4656 b=6.4656 c=6.4656 alpha=90.00 beta=90.00 gamma=90.00
Space group F-43m (No. 216)
One atom of each set of equivalent atoms:
Te1 0.0000 0.0000 0.0000
Mo1 0.2500 0.2500 0.2500
Cl1 0.0000 0.0000 0.5000

Values from the calculation:
Offset from the most stable computed form (eV/atom): 0.600

***

A relaxed structure of Te2MoCl8, computed with GGA-PBE.

Unit cell a=13.2492 b=8.2758 c=7.4170 alpha=90.00 beta=92.99 gamma=90.00
Space group C2/m (No. 12)
One atom of each set of equivalent atoms:
Te1 0.1122 0.0000 0.3251
Mo1 0.0000 0.0000 0.0000
Cl1 0.0358 0.2650 0.2062
Cl2 0.1550 0.0000 0.8541
Cl3 0.2086 0.5000 0.6606

***

| no. | total DFT energy (no corrections) (eV per atom) |
| --- | --- |
| 1 | -5.263 |
| 2 | -3.290 |
| 3 | -7.818 |
| 4 | -7.849 |
| 5 | -7.834 |
| 6 | -5.408 |
| 7 | -5.539 |
| 8 | -5.512 |
| 9 | -7.128 |
| 10 | -3.376 |
| 11 | -5.099 |
| 12 | -3.307 |